Record 1
VASP calculation (PBE) on a relaxed Cd2TeMo crystal.

a = 4.7056 Å, b = 3.2372 Å, c = 5.9231 Å
α = 74.37°, β = 90.00°, γ = 90.00°
Last column: nearest neighbours and their distance in Å.
Element x y z (fractional)
Cd 0.5000 0.2994 0.2726  3 Te 3.08-3.09, 4 Mo 3.14, 6 Cd 3.24-3.27
Cd 0.0000 0.9412 0.9953  1 Mo 2.88, 2 Te 3.23
Te 0.5000 0.5723 0.7317  2 Mo 2.70
Mo 0.0000 0.6871 0.5004  2 Te 2.70, 1 Cd 2.88

Properties
Formation energy from raw total energies: 0.433 eV/atom
Spin magnetization: 0.00 μB per atom
DOS(E_F): 0.67 states/eV per atom
SG: No. 6

Record 2
VASP calculation (PBE) on a relaxed Cd3TeMo crystal.

a = 5.6288 Å, b = 5.6288 Å, c = 5.6288 Å
α = 90.00°, β = 90.00°, γ = 90.00°
Last column: nearest neighbours and their distance in Å.
Element x y z (fractional)
Cd 0.0000 0.0000 0.5000  2 Te 2.81
Cd 0.0000 0.5000 0.0000  2 Te 2.81
Cd 0.5000 0.0000 0.0000  2 Te 2.81
Mo 0.5000 0.5000 0.5000  12 Cd 3.98
Te 0.0000 0.0000 0.0000  6 Cd 2.81

Properties
Excess energy over the best structure of this formula in the dataset: 1.58 eV per formula unit
Formation energy from raw total energies: 1.295 eV/atom
Spin magnetization: 1.02 μB per atom
DOS(E_F): 0.54 states/eV per atom
SG: No. 221

Record 3
VASP calculation (PBE) on a relaxed Cd2TeMo crystal.

a = 4.2881 Å, b = 4.2881 Å, c = 4.7699 Å
α = 90.00°, β = 90.00°, γ = 90.00°
Last column: nearest neighbours and their distance in Å.
Element x y z (fractional)
Cd 0.0000 0.0000 0.0000  4 Cd 3.03, 4 Mo 3.21, 4 Te 3.21
Cd 0.5000 0.5000 0.0000  4 Cd 3.03, 4 Mo 3.21, 4 Te 3.21
Mo 0.5000 0.0000 0.5000  4 Te 3.03, 8 Cd 3.21
Te 0.0000 0.5000 0.5000  4 Mo 3.03, 8 Cd 3.21

Properties
Formation energy from raw total energies: 0.539 eV/atom
Spin magnetization: 0.72 μB per atom
DOS(E_F): 0.63 states/eV per atom
SG: No. 123

Record 4
VASP calculation (PBE) on a relaxed Cd2TeMo crystal.

a = 2.9622 Å, b = 2.9622 Å, c = 10.6159 Å
α = 90.00°, β = 90.00°, γ = 100.11°
Last column: nearest neighbours and their distance in Å.
Element x y z (fractional)
Mo 0.5000 0.5000 0.2500  8 Cd 2.88-3.13, 4 Mo 2.96
Te 0.5000 0.5000 0.7500  4 Te 2.96
Cd 0.0000 0.0000 0.0468  4 Mo 2.88-3.13, 4 Cd 2.96
Cd 0.0000 0.0000 0.4532  4 Mo 2.88-3.13, 4 Cd 2.96

Properties
Formation energy from raw total energies: 0.434 eV/atom
Spin magnetization: 0.00 μB per atom
DOS(E_F): 0.61 states/eV per atom
SG: No. 65

Record 5
VASP calculation (PBE) on a relaxed CdTeMo4 crystal.

a = 5.3958 Å, b = 5.3958 Å, c = 5.3958 Å
α = 60.00°, β = 60.00°, γ = 60.00°
Last column: nearest neighbours and their distance in Å.
Element x y z (fractional)
Mo 0.3731 0.8806 0.3731  6 Mo 2.66-2.74
Mo 0.3731 0.3731 0.8806  6 Mo 2.66-2.74
Mo 0.8806 0.3731 0.3731  6 Mo 2.66-2.74
Mo 0.3731 0.3731 0.3731  6 Mo 2.66-2.74
Cd 0.0000 0.0000 0.0000  12 Mo 3.16, 4 Te 3.30
Te 0.7500 0.7500 0.7500  12 Mo 3.17, 4 Cd 3.30

Properties
Formation energy from raw total energies: 0.577 eV/atom
Spin magnetization: 0.00 μB per atom
DOS(E_F): 0.91 states/eV per atom
SG: No. 216

Record 6
VASP calculation (PBE) on a relaxed Cd2TeMo crystal.

a = 5.7198 Å, b = 3.1804 Å, c = 4.7329 Å
α = 92.64°, β = 90.00°, γ = 90.00°
Last column: nearest neighbours and their distance in Å.
Element x y z (fractional)
Te 0.5000 0.7500 0.7500  4 Mo 2.79-2.91
Cd 0.0000 0.0027 0.0054  4 Cd 2.74-2.94
Cd 0.0000 0.4973 0.4946  4 Cd 2.74-2.94
Mo 0.5000 0.2500 0.2500  4 Te 2.79-2.91

Properties
Formation energy from raw total energies: 0.521 eV/atom
Spin magnetization: 0.00 μB per atom
DOS(E_F): 0.93 states/eV per atom
SG: No. 10

Q: Which of these has the highest formation energy from raw total energies?
A: Cd3TeMo

Q: Which formula does entry 2 have?
A: Cd3TeMo

Q: Which of these has the highest DOS(E_F)?
A: number 6